Entry 1:
# CoNiSb2

CoNiSb2 after structural relaxation (GGA-PBEsol, Alexandria via LeMat-Bulk).

Space-group type ... Fm-3m (225)
Final energy ... -22.28 eV for the cell shown
Formation energy without anion corrections ... 0.182 eV per atom

The structure in extended XYZ format:
```
4
Lattice="0.000 3.173 3.173 3.173 0.000 3.173 3.173 3.173 0.000" Properties=species:S:1:pos:R:3 pbc="T T T"
Co 0.000 0.000 0.000
Ni 3.173 3.173 3.173
Sb 1.586 1.586 1.586
Sb 4.759 4.759 4.759
```

***

Entry 2:
# Ta2PtSeI

Ta2PtSeI after structural relaxation (GGA-PBEsol, Alexandria via LeMat-Bulk).

Space-group type ... P4/mmm (123)
Final energy ... -31.73 eV for the cell shown
Formation energy without anion corrections ... 1.191 eV per atom

The structure in extended XYZ format:
```
5
Lattice="4.973 0.000 0.000 0.000 4.973 0.000 0.000 0.000 4.893" Properties=species:S:1:pos:R:3 pbc="T T T"
Ta 0.000 2.486 0.000
Ta 2.486 0.000 0.000
Pt 0.000 0.000 0.000
Se 0.000 0.000 2.446
I 2.486 2.486 2.446
```

***

Entry 3:
# SnBi2C

SnBi2C after structural relaxation (GGA-PBEsol, Alexandria via LeMat-Bulk).

Space-group type ... I-42d (122)
Final energy ... -37.44 eV for the cell shown
ΔH_f (0 K) ... 362 kJ/mol of formula units

The structure in extended XYZ format:
```
8
Lattice="-3.576 3.576 3.964 3.576 -3.576 3.964 3.576 3.576 -3.964" Properties=species:S:1:pos:R:3 pbc="T T T"
Sn 0.000 0.000 0.000
Sn 0.000 3.576 1.982
Bi 1.788 2.429 -0.991
Bi 4.723 1.788 0.991
Bi 1.788 1.147 2.973
Bi -1.147 1.788 4.956
C 3.576 0.000 1.982
C 0.000 0.000 3.964
```

***

Entry 4:
# NaMnRuI2

NaMnRuI2 after structural relaxation (GGA-PBEsol, Alexandria via LeMat-Bulk).

Space-group type ... P4/mmm (123)
Final energy ... -18.54 eV for the cell shown
Formation energy without anion corrections ... 1.264 eV per atom

The structure in extended XYZ format:
```
5
Lattice="5.182 0.000 0.000 0.000 5.182 0.000 0.000 0.000 5.098" Properties=species:S:1:pos:R:3 pbc="T T T"
Na 0.000 0.000 0.000
Mn 0.000 0.000 2.549
Ru 2.591 2.591 0.000
I 0.000 2.591 2.549
I 2.591 0.000 2.549
```